Record 1
Density functional theory data (GGA-PBE) for a relaxed ErFeBC crystal.

For the total magnetization, the calculation gives 1.70 μB per formula unit. The calculation puts the density of states at the Fermi level at 2.115 states/eV/f.u. The value obtained for the total energy is -7.62 eV per atom. For the formation energy, the calculation gives -390 meV per atom.

Cell: 3.494 3.494 7.909 Å, 90.00 90.00 90.00°
Positions (direct):
Er  0.000  0.500  0.840
Er  0.500  0.000  0.160
Fe  0.000  0.000  0.500
Fe  0.500  0.500  0.500
B  0.000  0.500  0.333
B  0.500  0.000  0.667
C  0.500  0.000  0.856
C  0.000  0.500  0.144

=====

Record 2
Density functional theory data (GGA-PBE) for a relaxed Er2Mn2BC2 crystal.

For the total magnetization, the calculation gives 0.01 μB per formula unit. The calculation puts the density of states at the Fermi level at 4.885 states/eV/f.u. The value obtained for the total energy is -7.73 eV per atom. For the formation energy, the calculation gives -222 meV per atom.

Cell: 3.412 5.368 5.695 Å, 68.12 72.57 71.47°
Positions (direct):
Er  0.576  0.188  0.660
Er  0.424  0.812  0.340
Mn  0.208  0.672  0.912
Mn  0.792  0.328  0.088
B  0.000  0.000  0.000
C  0.190  0.369  0.252
C  0.810  0.631  0.748

=====

Record 3
Density functional theory data (GGA-PBE) for a relaxed ErMn2BC crystal.

For the total magnetization, the calculation gives 0.15 μB per formula unit. The calculation puts the density of states at the Fermi level at 3.790 states/eV/f.u. The value obtained for the total energy is -8.16 eV per atom. For the formation energy, the calculation gives -397 meV per atom.

Cell: 3.498 5.234 6.669 Å, 90.00 90.00 109.52°
Positions (direct):
Er  0.460  0.920  0.750
Er  0.540  0.080  0.250
Mn  0.182  0.365  0.939
Mn  0.818  0.635  0.061
Mn  0.182  0.365  0.561
Mn  0.818  0.635  0.439
B  0.735  0.470  0.750
B  0.265  0.530  0.250
C  0.000  0.000  0.000
C  0.000  0.000  0.500

=====

Record 4
Density functional theory data (GGA-PBE) for a relaxed Er2Mn2B2C crystal.

For the total magnetization, the calculation gives 0.01 μB per formula unit. The calculation puts the density of states at the Fermi level at 4.577 states/eV/f.u. The value obtained for the total energy is -7.57 eV per atom. For the formation energy, the calculation gives -423 meV per atom.

Cell: 3.504 5.376 5.666 Å, 70.57 71.99 70.98°
Positions (direct):
Er  0.569  0.182  0.680
Er  0.431  0.818  0.320
Mn  0.205  0.678  0.912
Mn  0.795  0.322  0.088
B  0.181  0.379  0.259
B  0.819  0.621  0.741
C  0.000  0.000  0.000

=====

Record 5
Density functional theory data (GGA-PBE) for a relaxed Er3Ni2B2C3 crystal.

For the total magnetization, the calculation gives 0.00 μB per formula unit. The calculation puts the density of states at the Fermi level at 3.490 states/eV/f.u. The value obtained for the total energy is -7.08 eV per atom. For the formation energy, the calculation gives -451 meV per atom.

Cell: 3.545 3.545 10.445 Å, 99.77 99.77 90.00°
Positions (direct):
Er  0.622  0.622  0.244
Er  0.378  0.378  0.756
Er  0.000  0.000  0.000
Ni  0.750  0.250  0.500
Ni  0.250  0.750  0.500
B  0.804  0.804  0.609
B  0.196  0.196  0.391
C  0.878  0.878  0.756
C  0.500  0.500  0.000
C  0.122  0.122  0.244

=====

Record 6
Density functional theory data (GGA-PBE) for a relaxed TbEr4Ni10B10C5 crystal.

For the total magnetization, the calculation gives 0.00 μB per formula unit. The calculation puts the density of states at the Fermi level at 12.430 states/eV/f.u. The value obtained for the total energy is -6.97 eV per atom. For the formation energy, the calculation gives -516 meV per atom.

Cell: 5.765 5.765 17.586 Å, 73.13 73.13 35.45°
Positions (direct):
Tb  0.000  0.000  0.000
Er  0.798  0.798  0.201
Er  0.599  0.599  0.400
Er  0.401  0.401  0.600
Er  0.202  0.202  0.799
Ni  0.698  0.698  0.050
Ni  0.902  0.902  0.849
Ni  0.101  0.101  0.650
Ni  0.300  0.300  0.450
Ni  0.498  0.498  0.250
Ni  0.302  0.302  0.950
Ni  0.502  0.502  0.750
Ni  0.700  0.700  0.550
Ni  0.899  0.899  0.350
Ni  0.098  0.098  0.151
B  0.717  0.717  0.928
B  0.915  0.915  0.728
B  0.114  0.114  0.529
B  0.313  0.313  0.329
B  0.512  0.512  0.129
B  0.283  0.283  0.072
B  0.488  0.488  0.871
B  0.687  0.687  0.671
B  0.886  0.886  0.471
B  0.085  0.085  0.272
C  0.604  0.604  0.898
C  0.801  0.801  0.699
C  0.000  0.000  0.500
C  0.199  0.199  0.301
C  0.396  0.396  0.102

=====

Record 7
Density functional theory data (GGA-PBE) for a relaxed Er2B2Os2C crystal.

For the total magnetization, the calculation gives 0.00 μB per formula unit. The calculation puts the density of states at the Fermi level at 3.136 states/eV/f.u. The value obtained for the total energy is -8.22 eV per atom. For the formation energy, the calculation gives -482 meV per atom.

Cell: 3.667 5.694 5.747 Å, 69.99 71.40 71.22°
Positions (direct):
Er  0.566  0.188  0.680
Er  0.434  0.812  0.320
B  0.176  0.383  0.264
B  0.824  0.617  0.736
Os  0.208  0.691  0.893
Os  0.792  0.309  0.107
C  0.000  0.000  0.000

=====

Record 8
Density functional theory data (GGA-PBE) for a relaxed ErPa2BC4 crystal.

For the total magnetization, the calculation gives 0.00 μB per formula unit. The calculation puts the density of states at the Fermi level at 1.534 states/eV/f.u. The value obtained for the total energy is -8.64 eV per atom. For the formation energy, the calculation gives -245 meV per atom.

Cell: 3.670 6.270 10.902 Å, 90.00 90.00 107.02°
Positions (direct):
Er  0.087  0.173  0.750
Er  0.913  0.827  0.250
Pa  0.372  0.745  0.569
Pa  0.628  0.255  0.069
Pa  0.628  0.255  0.431
Pa  0.372  0.745  0.931
B  0.761  0.521  0.750
B  0.239  0.479  0.250
C  0.264  0.528  0.120
C  0.736  0.472  0.620
C  0.736  0.472  0.880
C  0.264  0.528  0.380
C  0.000  0.000  0.500
C  0.000  0.000  0.000
C  0.459  0.918  0.750
C  0.541  0.082  0.250

=====

Record 9
Density functional theory data (GGA-PBE) for a relaxed Er2Re2B2C crystal.

For the total magnetization, the calculation gives 0.00 μB per formula unit. The calculation puts the density of states at the Fermi level at 1.293 states/eV/f.u. The value obtained for the total energy is -8.53 eV per atom. For the formation energy, the calculation gives -443 meV per atom.

Cell: 3.448 5.755 5.638 Å, 73.18 72.20 72.57°
Positions (direct):
Er  0.574  0.173  0.679
Er  0.426  0.827  0.321
Re  0.211  0.676  0.902
Re  0.789  0.324  0.098
B  0.115  0.438  0.332
B  0.885  0.562  0.668
C  0.000  0.000  0.000

=====

Record 10
Density functional theory data (GGA-PBE) for a relaxed Er2B2Ru2C crystal.

For the total magnetization, the calculation gives 0.00 μB per formula unit. The calculation puts the density of states at the Fermi level at 2.823 states/eV/f.u. The value obtained for the total energy is -7.66 eV per atom. For the formation energy, the calculation gives -485 meV per atom.

Cell: 3.645 5.691 5.712 Å, 70.15 71.39 71.32°
Positions (direct):
Er  0.563  0.191  0.682
Er  0.437  0.809  0.318
B  0.177  0.383  0.263
B  0.823  0.617  0.737
Ru  0.208  0.691  0.894
Ru  0.792  0.309  0.106
C  0.000  0.000  0.000

=====

Record 11
Density functional theory data (GGA-PBE) for a relaxed ErTa2BC4 crystal.

For the total magnetization, the calculation gives 0.00 μB per formula unit. The calculation puts the density of states at the Fermi level at 0.938 states/eV/f.u. The value obtained for the total energy is -9.28 eV per atom. For the formation energy, the calculation gives -300 meV per atom.

Cell: 3.149 5.560 10.494 Å, 90.00 90.00 106.45°
Positions (direct):
Er  0.096  0.192  0.750
Er  0.904  0.808  0.250
Ta  0.366  0.732  0.549
Ta  0.634  0.268  0.049
Ta  0.634  0.268  0.451
Ta  0.366  0.732  0.951
B  0.829  0.659  0.750
B  0.171  0.341  0.250
C  0.265  0.529  0.126
C  0.735  0.471  0.626
C  0.735  0.471  0.874
C  0.265  0.529  0.374
C  0.000  0.000  0.500
C  0.000  0.000  0.000
C  0.420  0.839  0.750
C  0.580  0.161  0.250

=====

Record 12
Density functional theory data (GGA-PBE) for a relaxed ErTcBC crystal.

For the total magnetization, the calculation gives 0.00 μB per formula unit. The calculation puts the density of states at the Fermi level at 2.414 states/eV/f.u. The value obtained for the total energy is -8.03 eV per atom. For the formation energy, the calculation gives -324 meV per atom.

Cell: 3.589 3.589 8.244 Å, 90.00 90.00 90.00°
Positions (direct):
Er  0.000  0.500  0.846
Er  0.500  0.000  0.154
Tc  0.000  0.000  0.500
Tc  0.500  0.500  0.500
B  0.000  0.500  0.314
B  0.500  0.000  0.686
C  0.500  0.000  0.866
C  0.000  0.500  0.134

=====

Record 13
Density functional theory data (GGA-PBE) for a relaxed EuBC crystal.

For the total magnetization, the calculation gives 7.10 μB per formula unit. The calculation puts the density of states at the Fermi level at 1.223 states/eV/f.u. The value obtained for the distance to the lowest polymorph of the same formula is 0.000 eV/atom. The value obtained for the total energy is -8.75 eV per atom. For the formation energy, the calculation gives -26 meV per atom.

Cell: 4.430 2.985 2.985 Å, 120.00 90.00 90.00°
Positions (direct):
Eu  0.667  0.667  0.333
C  0.167  0.000  0.000
B  0.167  0.333  0.667

=====

Record 14
Density functional theory data (GGA-PBE) for a relaxed EuBC crystal.

For the total magnetization, the calculation gives 6.05 μB per formula unit. The calculation puts the density of states at the Fermi level at 5.164 states/eV/f.u. The value obtained for the distance to the lowest polymorph of the same formula is 0.501 eV/atom. The value obtained for the total energy is -8.25 eV per atom. For the formation energy, the calculation gives 476 meV per atom.

Cell: 3.920 3.920 4.337 Å, 116.87 116.87 90.00°
Positions (direct):
Eu  0.959  0.959  0.917
C  0.341  0.341  0.682
B  0.550  0.550  0.100

=====

Record 15
Density functional theory data (GGA-PBE) for a relaxed BC2F crystal.

For the total magnetization, the calculation gives 0.00 μB per formula unit. The calculation puts the density of states at the Fermi level at 0.828 states/eV/f.u. The value obtained for the distance to the lowest polymorph of the same formula is 0.000 eV/atom. The value obtained for the total energy is -5.64 eV per atom. As for the energy relative to the elements, uncorrected: 4.46 eV/f.u.

Cell: 3.997 3.997 5.274 Å, 67.74 67.74 90.00°
Positions (direct):
C  0.476  0.125  0.250
C  0.274  0.625  0.250
C  0.375  0.524  0.750
C  0.875  0.726  0.750
B  0.500  0.500  0.000
B  0.250  0.750  0.500
F  0.000  0.000  0.000
F  0.750  0.250  0.500

=====

Record 16
Density functional theory data (GGA-PBE) for a relaxed BC2F crystal.

For the total magnetization, the calculation gives 0.00 μB per formula unit. The calculation puts the density of states at the Fermi level at 0.939 states/eV/f.u. The value obtained for the distance to the lowest polymorph of the same formula is 1.593 eV/atom. The value obtained for the total energy is -4.04 eV per atom. As for the energy relative to the elements, uncorrected: 10.83 eV/f.u.

Cell: 3.484 3.484 3.484 Å, 60.00 60.00 60.00°
Positions (direct):
C  0.250  0.250  0.250
C  0.750  0.750  0.750
B  0.000  0.000  0.000
F  0.500  0.500  0.500

=====

Record 17
Density functional theory data (GGA-PBE) for a relaxed BCF3 crystal.

For the total magnetization, the calculation gives 1.69 μB per formula unit. The calculation puts the density of states at the Fermi level at 4.720 states/eV/f.u. The value obtained for the distance to the lowest polymorph of the same formula is 0.000 eV/atom. The value obtained for the total energy is -3.83 eV per atom. As for the energy relative to the elements, uncorrected: 2.36 eV/f.u.

Cell: 3.518 3.518 3.518 Å, 90.00 90.00 90.00°
Positions (direct):
C  0.500  0.500  0.500
B  0.000  0.000  0.000
F  0.000  0.500  0.000
F  0.000  0.000  0.500
F  0.500  0.000  0.000

=====

Record 18
Density functional theory data (GGA-PBE) for a relaxed BCF crystal.

For the total magnetization, the calculation gives 0.00 μB per formula unit. The calculation puts the density of states at the Fermi level at 0.953 states/eV/f.u. The value obtained for the total energy is -6.26 eV per atom. As for the energy relative to the elements, uncorrected: -1.01 eV/f.u.

Cell: 2.252 3.791 7.332 Å, 71.69 81.16 72.72°
Positions (direct):
B  0.231  0.888  0.649
B  0.769  0.112  0.351
C  0.898  0.696  0.508
C  0.102  0.304  0.492
F  0.329  0.156  0.186
F  0.671  0.844  0.814

=====

Record 19
Density functional theory data (GGA-PBE) for a relaxed BCF3 crystal.

For the total magnetization, the calculation gives 0.00 μB per formula unit. The calculation puts the density of states at the Fermi level at 0.000 states/eV/f.u. The value obtained for the distance to the lowest polymorph of the same formula is 0.300 eV/atom. The value obtained for the total energy is -3.53 eV per atom. As for the energy relative to the elements, uncorrected: 3.86 eV/f.u.

Cell: 3.806 3.806 3.806 Å, 90.00 90.00 90.00°
Positions (direct):
C  0.000  0.000  0.000
B  0.500  0.500  0.500
F  0.000  0.500  0.000
F  0.000  0.000  0.500
F  0.500  0.000  0.000

=====

Record 20
Density functional theory data (GGA-PBE) for a relaxed BC3F crystal.

For the total magnetization, the calculation gives 0.00 μB per formula unit. The calculation puts the density of states at the Fermi level at 3.092 states/eV/f.u. The value obtained for the distance to the lowest polymorph of the same formula is 1.599 eV/atom. The value obtained for the total energy is -3.24 eV per atom. As for the energy relative to the elements, uncorrected: 20.02 eV/f.u.

Cell: 3.687 3.687 3.687 Å, 90.00 90.00 90.00°
Positions (direct):
C  0.000  0.500  0.000
C  0.000  0.000  0.500
C  0.500  0.000  0.000
B  0.500  0.500  0.500
F  0.000  0.000  0.000

=====

Record 21
Density functional theory data (GGA-PBE) for a relaxed BC3F crystal.

For the total magnetization, the calculation gives 0.59 μB per formula unit. The calculation puts the density of states at the Fermi level at 5.015 states/eV/f.u. The value obtained for the distance to the lowest polymorph of the same formula is 0.000 eV/atom. The value obtained for the total energy is -4.84 eV per atom. As for the energy relative to the elements, uncorrected: 12.03 eV/f.u.

Cell: 3.453 3.453 3.453 Å, 90.00 90.00 90.00°
Positions (direct):
C  0.000  0.500  0.000
C  0.000  0.000  0.500
C  0.500  0.000  0.000
B  0.000  0.000  0.000
F  0.500  0.500  0.500